Entry from Alexandria via LeMat-Bulk: crystalline Tb2Er12Sc5 at its relaxed geometry (PBE).

Calculated values
- calculated formation energy (eV per atom) = 0.148
- symmetry = C2/m (12)

Lattice parameters (Å, degrees): 8.6270 9.0352 8.2563 91.11 90.00 118.52
Last column: nearest neighbours and their distance in Å.
Positions (direct):
1 Tb 0.7872 0.0000 0.0000  8 Er 3.40-3.73, 2 Sc 3.44, 1 Tb 3.67
2 Tb 0.2128 0.0000 0.0000  8 Er 3.40-3.73, 2 Sc 3.44, 1 Tb 3.67
3 Er 0.8340 0.6679 0.1298  2 Sc 2.97-3.32
4 Er 0.0169 0.6248 0.7766  4 Sc 3.32-3.50, 6 Er 3.35-3.56, 1 Tb 3.47
5 Er 0.6080 0.6248 0.7766  4 Sc 3.32-3.50, 6 Er 3.35-3.56, 1 Tb 3.47
6 Er 0.1827 0.7809 0.3864  4 Sc 3.19-3.37, 5 Er 3.30-3.56
7 Er 0.5982 0.7809 0.3864  4 Sc 3.19-3.37, 5 Er 3.30-3.56
8 Er 0.4453 0.8907 0.7222  2 Sc 3.16-3.46, 6 Er 3.30-3.40, 2 Tb 3.47
9 Er 0.5547 0.1093 0.2778  2 Sc 3.16-3.46, 6 Er 3.30-3.40, 2 Tb 3.47
10 Er 0.8173 0.2191 0.6136  4 Sc 3.19-3.37, 5 Er 3.30-3.56
11 Er 0.4018 0.2191 0.6136  4 Sc 3.19-3.37, 5 Er 3.30-3.56
12 Er 0.9831 0.3752 0.2234  4 Sc 3.32-3.50, 6 Er 3.35-3.56, 1 Tb 3.47
13 Er 0.3920 0.3752 0.2234  4 Sc 3.32-3.50, 6 Er 3.35-3.56, 1 Tb 3.47
14 Er 0.1660 0.3321 0.8702  2 Sc 2.97-3.32
15 Sc 0.2454 0.4908 0.5480  5 Er 2.97-3.32
16 Sc 0.3530 0.7059 0.0574  8 Er 3.16-3.50, 2 Tb 3.44
17 Sc 0.0000 0.0000 0.5000  4 Er 3.19
18 Sc 0.6470 0.2941 0.9426  8 Er 3.16-3.50, 2 Tb 3.44
19 Sc 0.7546 0.5092 0.4520  5 Er 2.97-3.32